No. 1
VASP calculation (PBE-GGA) on a geometry-optimized Nb3SbPb structure.

Results
Calculated volume   136.29 Å³/cell
Spin magnetization   0.00 μB/cell
Polymorph energy (0 for the lowest one)   511.6 meV/atom
Density of states at the Fermi level   1.464 states/eV per atom
Uncorrected energy   -28.98 eV per cell
Crystal system   cubic
SG   Pm-3m
Uncorrected formation energy   1.811 eV per atom

a b c (Å): 5.146 5.146 5.146
angles (deg): 90.00 90.00 90.00
Fractional positions:
Nb1 0.000 0.000 0.500
Nb2 0.000 0.500 0.000
Nb3 0.500 0.000 0.000
Sb1 0.500 0.500 0.500
Pb1 0.000 0.000 0.000

---

No. 2
VASP calculation (PBE-GGA) on a geometry-optimized Ac2Pb3Au4 structure.

Results
Calculated volume   493.44 Å³/cell
Spin magnetization   0.00 μB/cell
Density of states at the Fermi level   0.595 states/eV per atom
Uncorrected energy   -73.05 eV per cell
Crystal system   orthorhombic
SG   Cmce
Formation energy   -452.7 meV per atom

a b c (Å): 9.161 9.161 8.829
angles (deg): 90.00 90.00 138.25
Fractional positions:
Ac1 0.116 0.884 0.914
Ac2 0.384 0.616 0.414
Ac3 0.616 0.384 0.586
Ac4 0.884 0.116 0.086
Pb1 0.000 0.000 0.500
Pb2 0.043 0.457 0.750
Pb3 0.457 0.043 0.250
Pb4 0.500 0.500 0.000
Pb5 0.543 0.957 0.750
Pb6 0.957 0.543 0.250
Au1 0.180 0.820 0.558
Au2 0.214 0.286 0.750
Au3 0.286 0.214 0.250
Au4 0.320 0.680 0.058
Au5 0.680 0.320 0.942
Au6 0.714 0.786 0.750
Au7 0.786 0.714 0.250
Au8 0.820 0.180 0.442